This record from Alexandria via LeMat-Bulk describes LiZnIr after structural relaxation. The functional is PBE.

Its crystal system is trigonal. The formation energy is -57 kJ/mol of formula units. The energy above the most stable polymorph in this dataset is 24 meV/atom. Its magnetization is 0.0 Bohr magnetons per cell.

The structure belongs to space group P3m1 (No. 156); the cell edges are 4.2562, 4.2562 and 2.5909 Å and the angles 90.00°, 90.00° and 120.00°. The asymmetric unit holds Li at (0.0000, 0.0000, 0.0000), Zn at (0.3333, 0.6667, 0.1975) and Ir at (0.6667, 0.3333, 0.6099).